# Nd2Hf2O5

A relaxed structure of Nd2Hf2O5 (GGA-PBE, the Open Quantum Materials Database).

a b c (Å): 9.7688 3.8864 3.8864
angles (deg): 90.00 90.00 90.00
Site moments in Bohr magnetons follow the coordinates.
Fractional coordinates of all 9 atoms:
Nd 0.7488 0.5000 0.5000  0.03
O 0.5000 0.5000 0.5000  0.54
Hf 0.5000 0.0000 0.0000  -0.04
Hf 0.0000 0.0000 0.0000  0.86
O 0.3593 0.0000 0.5000  0.08
O 0.3593 0.5000 0.0000  0.07
Nd 0.2512 0.5000 0.5000  0.03
O 0.6407 0.0000 0.5000  0.08
O 0.6407 0.5000 0.0000  0.07

Energy above the most stable polymorph in this dataset (meV per atom): 1171

***

# SrAl3Zn

A relaxed structure of SrAl3Zn (GGA-PBE, the Open Quantum Materials Database).

a b c (Å): 6.5157 6.5157 6.0554
angles (deg): 90.00 90.00 124.45
Fractional coordinates of all 10 atoms:
Al 0.7572 0.7572 0.5000
Sr 0.7485 0.2515 0.2500
Zn 0.8614 0.1386 0.7500
Al 0.6383 0.3617 0.7500
Al 0.7572 0.7572 0.0000
Al 0.2428 0.2428 0.5000
Sr 0.2515 0.7485 0.7500
Al 0.3617 0.6383 0.2500
Zn 0.1386 0.8614 0.2500
Al 0.2428 0.2428 0.0000

Calculated total energy (eV per atom): -3.112

***

# LiAl2Pt

A relaxed structure of LiAl2Pt (GGA-PBE, the Open Quantum Materials Database).

a b c (Å): 5.1616 7.1854 7.2652
angles (deg): 90.00 90.00 90.00
Fractional coordinates of all 16 atoms:
Al 0.8935 0.4462 0.1675
Pt 0.1163 0.7500 0.1262
Pt 0.8837 0.2500 0.8738
Al 0.1065 0.5538 0.8325
Al 0.6065 0.4462 0.6675
Al 0.8935 0.0538 0.1675
Pt 0.6163 0.2500 0.3738
Pt 0.3837 0.7500 0.6262
Li 0.8936 0.7500 0.4703
Al 0.3935 0.9462 0.3325
Al 0.6065 0.0538 0.6675
Li 0.6064 0.7500 0.9703
Al 0.1065 0.9462 0.8325
Li 0.1064 0.2500 0.5297
Li 0.3936 0.2500 0.0297
Al 0.3935 0.5538 0.3325

Calculated total energy (eV per atom): -4.589

***

# CsHg3GeS4

A relaxed structure of CsHg3GeS4 (GGA-PBE, the Open Quantum Materials Database).

a b c (Å): 7.0067 7.6699 10.1562
angles (deg): 90.00 98.70 90.00
Fractional coordinates of all 18 atoms:
S 0.7830 0.2500 0.8748
S 0.3928 0.2500 0.4752
S 0.1832 0.4814 0.7708
Hg 0.7740 0.0567 0.4918
Cs 0.2204 0.2500 0.1178
Hg 0.2260 0.9433 0.5082
Ge 0.0225 0.7500 0.2843
Hg 0.7740 0.4433 0.4918
Ge 0.9775 0.2500 0.7157
S 0.2170 0.7500 0.1252
S 0.8168 0.5186 0.2292
Hg 0.4634 0.2500 0.7387
Cs 0.7796 0.7500 0.8822
S 0.8168 0.9814 0.2292
S 0.6072 0.7500 0.5248
S 0.1832 0.0186 0.7708
Hg 0.2260 0.5567 0.5082
Hg 0.5366 0.7500 0.2613

Energy above the most stable polymorph in this dataset (meV per atom): 0

***

# Lu4CuNiN2

A relaxed structure of Lu4CuNiN2 (GGA-PBE, the Open Quantum Materials Database).

a b c (Å): 3.3730 3.3730 13.5071
angles (deg): 90.00 90.00 120.00
Fractional coordinates of all 8 atoms:
Ni 0.0000 0.0000 0.0000
Lu 0.0000 0.0000 0.3450
Cu 0.6667 0.3333 0.5000
N 0.3333 0.6667 0.7539
Lu 0.6667 0.3333 0.1439
N 0.3333 0.6667 0.2461
Lu 0.6667 0.3333 0.8561
Lu 0.0000 0.0000 0.6550

Calculated total energy (eV per atom): -6.387

***

# TaCu2Au

A relaxed structure of TaCu2Au (GGA-PBE, the Open Quantum Materials Database).

a b c (Å): 4.4018 4.4018 4.4018
angles (deg): 60.00 60.00 60.00
Fractional coordinates of all 4 atoms:
Ta 0.7500 0.7500 0.7500
Au 0.5000 0.5000 0.5000
Cu 0.0000 0.0000 0.0000
Cu 0.2500 0.2500 0.2500

Formation energy (eV per atom): 0.09

***

# Zn2InSnPd4

A relaxed structure of Zn2InSnPd4 (GGA-PBE, the Open Quantum Materials Database).

a b c (Å): 4.5266 4.5266 6.3968
angles (deg): 90.00 90.00 90.00
Fractional coordinates of all 8 atoms:
Zn 0.5000 0.5000 0.5000
Pd 0.5000 0.0000 0.7537
Zn 0.0000 0.0000 0.0000
Pd 0.0000 0.5000 0.7537
Pd 0.0000 0.5000 0.2463
In 0.0000 0.0000 0.5000
Sn 0.5000 0.5000 0.0000
Pd 0.5000 0.0000 0.2463

Calculated total energy (eV per atom): -4.254

***

# ZrFeCuAs

A relaxed structure of ZrFeCuAs (GGA-PBE, the Open Quantum Materials Database).

a b c (Å): 4.3449 4.3449 4.3449
angles (deg): 60.00 60.00 60.00
Fractional coordinates of all 4 atoms:
Zr 0.0000 0.0000 0.0000
Cu 0.7500 0.7500 0.7500
Fe 0.2500 0.2500 0.2500
As 0.5000 0.5000 0.5000

Energy above the most stable polymorph in this dataset (meV per atom): 24

***

# Sc2Zn2Sn

A relaxed structure of Sc2Zn2Sn (GGA-PBE, the Open Quantum Materials Database).

a b c (Å): 7.1336 7.1336 7.1336
angles (deg): 147.87 147.87 46.07
Fractional coordinates of all 5 atoms:
Sc 0.3983 0.3983 0.0000
Zn 0.2500 0.7500 0.5000
Zn 0.7500 0.2500 0.5000
Sn 0.0000 0.0000 0.0000
Sc 0.6017 0.6017 0.0000

Calculated total energy (eV per atom): -3.860

***

# Cu5Ag4

A relaxed structure of Cu5Ag4 (GGA-PBE, the Open Quantum Materials Database).

a b c (Å): 4.6699 4.6699 8.1363
angles (deg): 103.94 103.94 50.07
Fractional coordinates of all 9 atoms:
Ag 0.0069 0.0069 0.3332
Ag 0.9931 0.9931 0.6668
Ag 0.3342 0.3342 0.1118
Ag 0.6658 0.6658 0.8882
Cu 0.3325 0.3325 0.4520
Cu 0.6675 0.6675 0.5480
Cu 0.0000 0.0000 0.0000
Cu 0.3258 0.3258 0.7676
Cu 0.6742 0.6742 0.2324

Energy above the most stable polymorph in this dataset (meV per atom): 60
Formation energy (eV per atom): 0.10

***

# LaNd2SmSe3O4

A relaxed structure of LaNd2SmSe3O4 (GGA-PBE, the Open Quantum Materials Database).

a b c (Å): 8.4213 6.7746 6.7746
angles (deg): 34.38 90.00 90.00
Fractional coordinates of all 11 atoms:
O 0.5000 0.6134 0.6134
Se 0.3505 0.3576 0.3576
Se 0.0000 0.3075 0.3075
O 0.2479 0.0879 0.0879
O 0.7521 0.0879 0.0879
Se 0.6495 0.3576 0.3576
Nd 0.7612 0.6836 0.6836
O 0.0000 0.5877 0.5877
La 0.0000 0.9977 0.9977
Sm 0.5000 0.0179 0.0179
Nd 0.2388 0.6836 0.6836

Energy above the most stable polymorph in this dataset (meV per atom): 0